(1)
# Cs2CaMnAu (PBE, optimized geometry)
# DFT formation energy (kJ/mol of formula units): 349
data_Cs2CaMnAu
_chemical_formula_sum 'Cs2 Ca1 Mn1 Au1'
_cell_length_a 6.341
_cell_length_b 6.341
_cell_length_c 5.358
_cell_angle_alpha 90.00
_cell_angle_beta 90.00
_cell_angle_gamma 90.00
_space_group_name_H-M_alt 'P 4/m m m'
_space_group_IT_number 123
_space_group_name_Hall '-P 4 2'
loop_
_atom_site_label
_atom_site_fract_x
_atom_site_fract_y
_atom_site_fract_z
_atom_site_occupancy
Cs1 0.000 0.500 0.000 1
Ca1 0.000 0.000 0.500 1
Mn1 0.000 0.000 0.000 1
Au1 0.500 0.500 0.500 1

***

(2)
# ZnOs2Se (PBE, optimized geometry)
# Uncorrected formation energy (eV/atom): 0.732
data_ZnOs2Se
_chemical_formula_sum 'Zn1 Os2 Se1'
_cell_length_a 2.835
_cell_length_b 4.531
_cell_length_c 4.787
_cell_angle_alpha 90.00
_cell_angle_beta 90.00
_cell_angle_gamma 90.00
_space_group_name_H-M_alt 'P m m m'
_space_group_IT_number 47
loop_
_space_group_symop_operation_xyz
'x,y,z'
'-x,-y,-z'
'-x,-y,z'
'x,y,-z'
'x,-y,-z'
'-x,y,z'
'-x,y,-z'
'x,-y,z'
loop_
_atom_site_label
_atom_site_fract_x
_atom_site_fract_y
_atom_site_fract_z
_atom_site_occupancy
Zn1 0.000 0.000 0.000 1
Os1 0.000 0.500 0.500 1
Os2 0.500 0.500 0.000 1
Se1 0.500 0.000 0.500 1

***

(3)
# TbDyNiPd (PBE, optimized geometry)
# DFT formation energy (kJ/mol of formula units): -236
data_TbDyNiPd
_chemical_formula_sum 'Tb4 Dy4 Ni4 Pd4'
_cell_length_a 6.923
_cell_length_b 6.923
_cell_length_c 6.923
_cell_angle_alpha 90.00
_cell_angle_beta 90.00
_cell_angle_gamma 90.00
_space_group_name_H-M_alt 'F -4 3 m'
_space_group_IT_number 216
_space_group_name_Hall 'F -4 2 3'
loop_
_atom_site_label
_atom_site_fract_x
_atom_site_fract_y
_atom_site_fract_z
_atom_site_occupancy
Tb1 0.000 0.000 0.000 1
Dy1 0.000 0.000 0.500 1
Ni1 0.250 0.250 0.750 1
Pd1 0.250 0.250 0.250 1

***

(4)
# DyThTlBi (PBE, optimized geometry)
# DFT formation energy (kJ/mol of formula units): -114
data_DyThTlBi
_chemical_formula_sum 'Dy4 Th4 Tl4 Bi4'
_cell_length_a 7.785
_cell_length_b 7.785
_cell_length_c 7.785
_cell_angle_alpha 90.00
_cell_angle_beta 90.00
_cell_angle_gamma 90.00
_space_group_name_H-M_alt 'F -4 3 m'
_space_group_IT_number 216
_space_group_name_Hall 'F -4 2 3'
loop_
_atom_site_label
_atom_site_fract_x
_atom_site_fract_y
_atom_site_fract_z
_atom_site_occupancy
Dy1 0.000 0.000 0.000 1
Th1 0.000 0.000 0.500 1
Tl1 0.250 0.250 0.750 1
Bi1 0.250 0.250 0.250 1

***

(5)
# Gd2AgSn (PBE, optimized geometry)
# DFT formation energy (kJ/mol of formula units): 21
data_Gd2AgSn
_chemical_formula_sum 'Gd6 Ag3 Sn3'
_cell_length_a 3.4921
_cell_length_b 3.4921
_cell_length_c 33.1627
_cell_angle_alpha 90.00
_cell_angle_beta 90.00
_cell_angle_gamma 120.00
_space_group_name_H-M_alt 'R -3 m'
_space_group_IT_number 166
_space_group_name_Hall '-R 3 2"'
loop_
_atom_site_label
_atom_site_fract_x
_atom_site_fract_y
_atom_site_fract_z
_atom_site_occupancy
Gd1 0.0000 0.0000 0.0946 1
Ag1 0.0000 0.0000 0.5000 1
Sn1 0.0000 0.0000 0.0000 1

***

(6)
# Pr3ZrTe6 (PBE, optimized geometry)
# Uncorrected formation energy (eV/atom): -1.182
data_Pr3ZrTe6
_chemical_formula_sum 'Pr12 Zr4 Te24'
_cell_length_a 12.473
_cell_length_b 15.322
_cell_length_c 7.572
_cell_angle_alpha 90.00
_cell_angle_beta 90.00
_cell_angle_gamma 90.00
_space_group_name_H-M_alt 'C m c 21'
_space_group_IT_number 36
loop_
_space_group_symop_operation_xyz
'x,y,z'
'-x,-y,z+1/2'
'-x,y,z'
'x,-y,z+1/2'
'x+1/2,y+1/2,z'
'-x+1/2,-y+1/2,z+1/2'
'-x+1/2,y+1/2,z'
'x+1/2,-y+1/2,z+1/2'
loop_
_atom_site_label
_atom_site_fract_x
_atom_site_fract_y
_atom_site_fract_z
_atom_site_occupancy
Pr1 0.000 0.092 0.000 1
Pr2 0.175 0.405 0.897 1
Zr1 0.000 0.301 0.355 1
Te1 0.000 0.272 0.720 1
Te2 0.000 0.469 0.205 1
Te3 0.165 0.036 0.701 1
Te4 0.171 0.230 0.175 1

***

no.,DOS at the Fermi energy (states/eV/atom)
1,1.00
2,1.08
3,1.04
4,1.56
5,1.33
6,0.56